1.
VASP calculation (GGA-PBE) on a geometry-optimized ReAgPd structure.

final energy = -5.7670 eV/atom
magnetic moment = 0.016 μB per formula unit
ΔE to the lowest computed polymorph = 0 meV/atom
crystal system = cubic
mass density = 12.374 g/cm3
calculated volume = 53.75 Å³ per cell

abc: 4.236 4.236 4.236
angles: 60.00 60.00 60.00
Fractional positions:
Re 0.000 0.000 0.000
Ag 0.500 0.500 0.500
Pd 0.750 0.750 0.750


2.
VASP calculation (GGA-PBE) on a geometry-optimized SrCuSi structure.

final energy = -3.9457 eV/atom
crystal system = orthorhombic
mass density = 4.385 g/cm3
calculated volume = 67.87 Å³ per cell

abc: 4.677 4.099 4.099
angles: 59.74 90.00 90.00
Fractional positions:
Sr 0.000 0.000 0.000
Cu 0.500 0.666 0.666
Si 0.500 0.333 0.333


3.
VASP calculation (GGA-PBE) on a geometry-optimized Co15Sb structure.

final energy = -6.8422 eV/atom
magnetic moment = 23.838 μB per formula unit
ΔE to the lowest computed polymorph = 3 meV/atom
crystal system = monoclinic
mass density = 5.772 g/cm3
calculated volume = 578.74 Å³ per cell

abc: 4.963 3.498 33.335
angles: 90.00 90.01 90.00
Fractional positions:
Co 0.119 0.250 0.242
Co 0.125 0.250 0.018
Co 0.125 0.250 0.093
Co 0.125 0.250 0.723
Co 0.125 0.250 0.796
Co 0.125 0.250 0.870
Co 0.125 0.250 0.945
Co 0.126 0.250 0.168
Co 0.369 0.750 0.758
Co 0.375 0.750 0.056
Co 0.375 0.750 0.130
Co 0.375 0.750 0.204
Co 0.375 0.750 0.907
Co 0.375 0.750 0.982
Co 0.376 0.750 0.832
Co 0.624 0.250 0.168
Co 0.625 0.250 0.018
Co 0.625 0.250 0.093
Co 0.625 0.250 0.796
Co 0.625 0.250 0.870
Co 0.625 0.250 0.944
Co 0.631 0.250 0.242
Co 0.874 0.750 0.832
Co 0.875 0.750 0.055
Co 0.875 0.750 0.130
Co 0.875 0.750 0.204
Co 0.875 0.750 0.277
Co 0.875 0.750 0.907
Co 0.875 0.750 0.982
Co 0.881 0.750 0.758
Sb 0.375 0.750 0.290
Sb 0.625 0.250 0.710


4.
VASP calculation (GGA-PBE) on a geometry-optimized WSe2S2Br structure.

final energy = -5.3250 eV/atom
magnetic moment = 0.001 μB per formula unit
ΔE to the lowest computed polymorph = 28 meV/atom
crystal system = triclinic
mass density = 5.008 g/cm3
calculated volume = 322.15 Å³ per cell

abc: 6.285 7.984 8.003
angles: 61.17 66.89 83.47
Fractional positions:
W 0.223 0.000 0.000
W 0.777 0.000 0.000
Se 0.380 0.793 0.300
Se 0.463 0.251 0.002
Se 0.537 0.749 0.998
Se 0.620 0.207 0.700
S 0.021 0.285 0.876
S 0.118 0.911 0.789
S 0.882 0.089 0.211
S 0.979 0.715 0.124
Br 0.266 0.231 0.402
Br 0.734 0.769 0.598


5.
VASP calculation (GGA-PBE) on a geometry-optimized Tb4NiI5 structure.

final energy = -4.2454 eV/atom
magnetic moment = 0.056 μB per formula unit
crystal system = monoclinic
mass density = 6.421 g/cm3
calculated volume = 343.67 Å³ per cell

abc: 9.909 9.909 8.886
angles: 102.31 102.31 23.80
Fractional positions:
Tb 0.000 0.000 0.200
Tb 0.000 0.000 0.800
Tb 0.359 0.359 0.927
Tb 0.641 0.641 0.073
Ni 0.500 0.500 0.000
I 0.167 0.167 0.345
I 0.177 0.177 0.828
I 0.500 0.500 0.500
I 0.823 0.823 0.172
I 0.833 0.833 0.655


6.
VASP calculation (GGA-PBE) on a geometry-optimized ScCuSn2 structure.

final energy = -4.5033 eV/atom
magnetic moment = 0.002 μB per formula unit
crystal system = cubic
mass density = 6.551 g/cm3
calculated volume = 87.68 Å³ per cell

abc: 4.987 4.987 4.987
angles: 60.00 60.00 60.00
Fractional positions:
Sc 0.000 0.000 0.000
Cu 0.250 0.250 0.250
Sn 0.500 0.500 0.500
Sn 0.750 0.750 0.750


7.
VASP calculation (GGA-PBE) on a geometry-optimized TbTcB4 structure.

final energy = -7.2855 eV/atom
magnetic moment = 0.002 μB per formula unit
ΔE to the lowest computed polymorph = 25 meV/atom
crystal system = orthorhombic
mass density = 8.195 g/cm3
calculated volume = 60.82 Å³ per cell

abc: 4.746 4.746 4.746
angles: 141.11 110.93 82.21
Fractional positions:
Tb 0.000 0.000 0.000
Tc 0.500 0.500 0.000
B 0.088 0.751 0.336
B 0.415 0.751 0.664
B 0.585 0.249 0.336
B 0.912 0.249 0.664


8.
VASP calculation (GGA-PBE) on a geometry-optimized TbGdH2Br4 structure.

final energy = -4.3689 eV/atom
magnetic moment = 0.001 μB per formula unit
crystal system = hexagonal
mass density = 5.526 g/cm3
calculated volume = 191.66 Å³ per cell

abc: 3.863 3.863 14.828
angles: 90.00 90.00 120.00
Fractional positions:
Tb 0.000 0.000 0.000
Gd 0.000 0.000 0.500
H 0.333 0.667 0.500
H 0.667 0.333 0.000
Br 0.333 0.667 0.129
Br 0.333 0.667 0.871
Br 0.667 0.333 0.370
Br 0.667 0.333 0.630


9.
VASP calculation (GGA-PBE) on a geometry-optimized KHoHg structure.

final energy = -1.4779 eV/atom
magnetic moment = 0.466 μB per formula unit
ΔE to the lowest computed polymorph = 0 meV/atom
crystal system = cubic
mass density = 6.403 g/cm3
calculated volume = 104.94 Å³ per cell

abc: 5.294 5.294 5.294
angles: 60.00 60.00 60.00
Fractional positions:
K 0.000 0.000 0.000
Ho 0.750 0.750 0.750
Hg 0.500 0.500 0.500


10.
VASP calculation (GGA-PBE) on a geometry-optimized GdY2 structure.

final energy = -3.3487 eV/atom
magnetic moment = 4.356 μB per formula unit
ΔE to the lowest computed polymorph = 2214 meV/atom
crystal system = cubic
mass density = 1.816 g/cm3
calculated volume = 612.81 Å³ per cell

abc: 9.534 9.534 9.534
angles: 60.00 60.00 60.00
Fractional positions:
Gd 0.125 0.125 0.125
Gd 0.875 0.875 0.875
Y 0.000 0.000 0.000
Y 0.000 0.000 0.500
Y 0.000 0.500 0.000
Y 0.500 0.000 0.000


11.
VASP calculation (GGA-PBE) on a geometry-optimized CdAu17 structure.

final energy = -3.1024 eV/atom
ΔE to the lowest computed polymorph = 4 meV/atom
crystal system = monoclinic
mass density = 11.136 g/cm3
calculated volume = 2064.24 Å³ per cell

abc: 10.019 5.854 35.193
angles: 90.00 90.23 90.00
Fractional positions:
Cd 0.000 0.000 0.000
Cd 0.000 0.500 0.000
Cd 0.166 0.000 0.570
Cd 0.666 0.000 0.570
Au 0.000 0.000 0.215
Au 0.000 0.000 0.423
Au 0.000 0.500 0.215
Au 0.082 0.250 0.076
Au 0.082 0.750 0.076
Au 0.083 0.248 0.493
Au 0.083 0.250 0.284
Au 0.083 0.750 0.284
Au 0.083 0.752 0.493
Au 0.166 0.000 0.354
Au 0.166 0.500 0.354
Au 0.166 0.500 0.563
Au 0.167 0.000 0.146
Au 0.167 0.500 0.146
Au 0.249 0.250 0.423
Au 0.249 0.750 0.423
Au 0.250 0.250 0.005
Au 0.250 0.250 0.215
Au 0.250 0.750 0.005
Au 0.250 0.750 0.215
Au 0.332 0.000 0.076
Au 0.332 0.000 0.493
Au 0.332 0.500 0.076
Au 0.333 0.000 0.284
Au 0.333 0.500 0.284
Au 0.333 0.500 0.492
Au 0.416 0.250 0.145
Au 0.416 0.250 0.354
Au 0.416 0.250 0.563
Au 0.416 0.750 0.145
Au 0.416 0.750 0.354
Au 0.416 0.750 0.563
Au 0.499 0.500 0.423
Au 0.500 0.000 0.005
Au 0.500 0.000 0.215
Au 0.500 0.000 0.423
Au 0.500 0.500 0.005
Au 0.500 0.500 0.215
Au 0.583 0.248 0.493
Au 0.583 0.250 0.076
Au 0.583 0.250 0.284
Au 0.583 0.750 0.076
Au 0.583 0.750 0.284
Au 0.583 0.752 0.493
Au 0.666 0.000 0.145
Au 0.666 0.000 0.354
Au 0.666 0.500 0.145
Au 0.666 0.500 0.354
Au 0.666 0.500 0.563
Au 0.749 0.250 0.215
Au 0.749 0.750 0.215
Au 0.750 0.250 0.004
Au 0.750 0.250 0.423
Au 0.750 0.750 0.004
Au 0.750 0.750 0.423
Au 0.832 0.000 0.493
Au 0.833 0.000 0.284
Au 0.833 0.500 0.284
Au 0.833 0.500 0.492
Au 0.835 0.000 0.075
Au 0.835 0.500 0.075
Au 0.916 0.250 0.146
Au 0.916 0.250 0.354
Au 0.916 0.250 0.564
Au 0.916 0.750 0.146
Au 0.916 0.750 0.354
Au 0.916 0.750 0.564
Au 0.999 0.500 0.423


12.
VASP calculation (GGA-PBE) on a geometry-optimized Er structure.

final energy = -4.5392 eV/atom
magnetic moment = 0.001 μB per formula unit
ΔE to the lowest computed polymorph = 24 meV/atom
crystal system = cubic
mass density = 9.228 g/cm3
calculated volume = 30.10 Å³ per cell

abc: 3.491 3.491 3.491
angles: 60.00 60.00 60.00
Fractional positions:
Er 0.000 0.000 0.000